Record 1
Here is a geometry-optimized PrDyTe structure from the Open Quantum Materials Database. Energies are from PBE-GGA.

Geometry as CIF:
```
data_PrDyTe
_chemical_formula_sum 'Pr1 Dy1 Te1'
_symmetry_space_group_name_H-M 'P 1'
_symmetry_Int_Tables_number 1
_symmetry_space_group_name_Hall 'P 1'
_cell_length_a 5.163
_cell_length_b 5.163
_cell_length_c 5.163
_cell_angle_alpha 60.00
_cell_angle_beta 60.00
_cell_angle_gamma 60.00
loop_
_atom_site_label
_atom_site_fract_x
_atom_site_fract_y
_atom_site_fract_z
Pr1 0.000 0.000 0.000
Dy1 0.500 0.500 0.500
Te1 0.750 0.750 0.750
```

Summary:
Space-group type   No. 216
Size of the total moment   0.6 Bohr magnetons per cell
Polymorph energy (0 for the lowest one)   0 meV per atom

Record 2
Here is a geometry-optimized PrDy2Tl3 structure from the Open Quantum Materials Database. Energies are from PBE-GGA.

Geometry as CIF:
```
data_PrDy2Tl3
_chemical_formula_sum 'Pr1 Dy2 Tl3'
_symmetry_space_group_name_H-M 'P 1'
_symmetry_Int_Tables_number 1
_symmetry_space_group_name_Hall 'P 1'
_cell_length_a 3.788
_cell_length_b 3.788
_cell_length_c 11.702
_cell_angle_alpha 90.00
_cell_angle_beta 90.00
_cell_angle_gamma 90.00
loop_
_atom_site_label
_atom_site_fract_x
_atom_site_fract_y
_atom_site_fract_z
Pr1 0.000 0.000 0.000
Dy1 0.000 0.000 0.339
Dy2 0.000 0.000 0.661
Tl1 0.500 0.500 0.179
Tl2 0.500 0.500 0.500
Tl3 0.500 0.500 0.821
```

Summary:
VASP energy   -3.873 eV per atom
Space-group type   No. 123
Size of the total moment   0.1 Bohr magnetons per cell

Record 3
Here is a geometry-optimized PrDyTl structure from the Open Quantum Materials Database. Energies are from PBE-GGA.

Geometry as CIF:
```
data_PrDyTl
_chemical_formula_sum 'Pr1 Dy1 Tl1'
_symmetry_space_group_name_H-M 'P 1'
_symmetry_Int_Tables_number 1
_symmetry_space_group_name_Hall 'P 1'
_cell_length_a 5.261
_cell_length_b 5.261
_cell_length_c 5.261
_cell_angle_alpha 60.00
_cell_angle_beta 60.00
_cell_angle_gamma 60.00
loop_
_atom_site_label
_atom_site_fract_x
_atom_site_fract_y
_atom_site_fract_z
Pr1 0.000 0.000 0.000
Dy1 0.500 0.500 0.500
Tl1 0.750 0.750 0.750
```

Summary:
Space-group type   No. 216
Size of the total moment   0.8 Bohr magnetons per cell
Polymorph energy (0 for the lowest one)   0 meV per atom

Record 4
Here is a geometry-optimized PrDyTm structure from the Open Quantum Materials Database. Energies are from PBE-GGA.

Geometry as CIF:
```
data_PrDyTm
_chemical_formula_sum 'Pr1 Dy1 Tm1'
_symmetry_space_group_name_H-M 'P 1'
_symmetry_Int_Tables_number 1
_symmetry_space_group_name_Hall 'P 1'
_cell_length_a 5.450
_cell_length_b 5.450
_cell_length_c 5.450
_cell_angle_alpha 60.00
_cell_angle_beta 60.00
_cell_angle_gamma 60.00
loop_
_atom_site_label
_atom_site_fract_x
_atom_site_fract_y
_atom_site_fract_z
Pr1 0.000 0.000 0.000
Dy1 0.500 0.500 0.500
Tm1 0.750 0.750 0.750
```

Summary:
ΔH_f (0 K)   0.702 eV per atom
Space-group type   No. 216
Size of the total moment   0.0 Bohr magnetons per cell
Polymorph energy (0 for the lowest one)   0 meV per atom